Material: RbSr3Ag
Method: DFT, PBE
State: optimized geometry

Computed properties:
Energy of formation ... -0.052 eV/atom
Raw total energy ... -9.13 eV/cell
Offset from the most stable computed form ... 0 meV per atom

Lattice parameters (Å, degrees): 6.413 6.413 6.413 90.00 90.00 90.00
Element x y z (fractional)
Ag1 0.000 0.000 0.000
Sr1 0.000 0.500 0.000
Sr2 0.000 0.000 0.500
Sr3 0.500 0.000 0.000
Rb1 0.500 0.500 0.500

=====

Material: RbSr2Ag2
Method: DFT, PBE
State: optimized geometry

Computed properties:
Energy of formation ... -0.112 eV/atom
Raw total energy ... -21.19 eV/cell
Offset from the most stable computed form ... 0 meV per atom

Lattice parameters (Å, degrees): 9.148 9.148 4.442 90.00 90.00 90.00
Element x y z (fractional)
Ag1 0.382 0.882 0.000
Ag2 0.118 0.382 0.000
Ag3 0.618 0.118 0.000
Ag4 0.882 0.618 0.000
Rb1 0.500 0.500 0.000
Rb2 0.000 0.000 0.000
Sr1 0.841 0.341 0.500
Sr2 0.159 0.659 0.500
Sr3 0.659 0.841 0.500
Sr4 0.341 0.159 0.500

=====

Material: RbSr2TcAg
Method: DFT, PBE
State: optimized geometry

Computed properties:
Energy of formation ... 0.853 eV/atom
Raw total energy ... -13.28 eV/cell

Lattice parameters (Å, degrees): 5.676 5.994 5.676 90.00 90.00 90.00
Element x y z (fractional)
Tc1 0.000 0.000 0.000
Rb1 0.000 0.500 0.000
Ag1 0.500 0.500 0.500
Sr1 0.500 0.000 0.000
Sr2 0.000 0.000 0.500

=====

Material: Rb3TaAg
Method: DFT, PBE
State: optimized geometry

Computed properties:
Energy of formation ... 1.340 eV/atom
Raw total energy ... -10.90 eV/cell
Offset from the most stable computed form ... 0 meV per atom

Lattice parameters (Å, degrees): 6.582 6.582 6.582 90.00 90.00 90.00
Last column: magnetic moment on the atom in μB.
Element x y z (fractional)
Rb1 0.000 0.500 0.000  0.03
Rb2 0.500 0.000 0.000  0.03
Rb3 0.000 0.000 0.500  0.03
Ag1 0.000 0.000 0.000  0.02
Ta1 0.500 0.500 0.500  2.41